Compound: RbZr2Ge2
Source: Alexandria
Functional: PBE
Structure: optimized geometry

DOS at the Fermi energy: 10.78 states/eV per cell
offset from the most stable computed form: 0 meV/atom
VASP energy: -5.64 eV/atom
total magnetization: 0.0 Bohr magnetons per cell

Cell lengths 8.641, 8.641, 3.064 Å; angles 90.00, 90.00, 90.00 degrees
Positions (direct):
Zr  0.126  0.374  0.000
Zr  0.374  0.874  0.000
Zr  0.626  0.126  0.000
Zr  0.874  0.626  0.000
Rb  0.000  0.000  0.000
Rb  0.500  0.500  0.000
Ge  0.662  0.838  0.500
Ge  0.838  0.338  0.500
Ge  0.162  0.662  0.500
Ge  0.338  0.162  0.500